Entry 1:
Here is a relaxed PmHo2Rh9 crystal from Alexandria. Energies are from GGA-PBE.

D(E_F), states/eV/f.u.: 13.4
Space-group type: R-3m, No. 166
ΔE_f, eV/atom: -0.57

a b c (Å): 9.2704 9.2704 9.2704
angles (deg): 33.06 33.06 33.06
Closest atoms and distances in Å follow each position.
Sites, in units of the cell vectors:
Pm: 0.0000 0.0000 0.0000  6 Rh 3.05
Ho: 0.1393 0.1393 0.1393  12 Rh 3.02-3.28, 3 Ho 3.37
Ho: 0.8607 0.8607 0.8607  12 Rh 3.02-3.28, 3 Ho 3.37
Rh: 0.0826 0.5835 0.5835  7 Rh 2.63-2.67
Rh: 0.3331 0.3331 0.3331  6 Rh 2.66-2.67
Rh: 0.4165 0.4165 0.9174  7 Rh 2.63-2.67
Rh: 0.4165 0.9174 0.4165  7 Rh 2.63-2.67
Rh: 0.5000 0.5000 0.5000  6 Rh 2.67
Rh: 0.5835 0.0826 0.5835  7 Rh 2.63-2.67
Rh: 0.5835 0.5835 0.0826  7 Rh 2.63-2.67
Rh: 0.6669 0.6669 0.6669  6 Rh 2.66-2.67
Rh: 0.9174 0.4165 0.4165  7 Rh 2.63-2.67

---

Entry 2:
Here is a relaxed PmHoRh2 crystal from Alexandria. Energies are from GGA-PBE.

D(E_F), states/eV/f.u.: 2.7
Space-group type: Fm-3m, No. 225
ΔE_f, eV/atom: -0.79
Energy above the lowest structure with this stoichiometry, meV/atom: 0

a b c (Å): 4.8995 4.8995 4.8995
angles (deg): 60.00 60.00 60.00
Closest atoms and distances in Å follow each position.
Sites, in units of the cell vectors:
Pm: 0.0000 0.0000 0.0000  8 Rh 3.00
Ho: 0.5000 0.5000 0.5000  8 Rh 3.00
Rh: 0.2500 0.2500 0.2500  4 Ho 3.00, 4 Pm 3.00
Rh: 0.7500 0.7500 0.7500  4 Ho 3.00, 4 Pm 3.00

---

Entry 3:
Here is a relaxed PmHo2Rh3 crystal from Alexandria. Energies are from GGA-PBE.

D(E_F), states/eV/f.u.: 3.9
Space-group type: P4/mmm, No. 123
ΔE_f, eV/atom: -0.82

a b c (Å): 3.4403 3.4403 10.3796
angles (deg): 90.00 90.00 90.00
Closest atoms and distances in Å follow each position.
Sites, in units of the cell vectors:
Pm: 0.0000 0.0000 0.0000  8 Rh 3.04
Ho: 0.0000 0.0000 0.3362  8 Rh 2.95-2.97
Ho: 0.0000 0.0000 0.6638  8 Rh 2.95-2.97
Rh: 0.5000 0.5000 0.1763  4 Ho 2.95, 4 Pm 3.04
Rh: 0.5000 0.5000 0.5000  8 Ho 2.97
Rh: 0.5000 0.5000 0.8237  4 Ho 2.95, 4 Pm 3.04

---

Entry 4:
Here is a relaxed PmHoRuRh crystal from Alexandria. Energies are from GGA-PBE.

D(E_F), states/eV/f.u.: 1.7
Space-group type: P4mm, No. 99
ΔE_f, eV/atom: -0.54
Energy above the lowest structure with this stoichiometry, meV/atom: 0

a b c (Å): 3.4490 3.4490 6.8877
angles (deg): 90.00 90.00 90.00
Closest atoms and distances in Å follow each position.
Sites, in units of the cell vectors:
Pm: 0.0000 0.0000 0.0000  4 Ru 3.00, 4 Rh 3.04
Ho: 0.0000 0.0000 0.4925  4 Ru 2.94, 4 Rh 2.96
Ru: 0.5000 0.5000 0.2534  4 Ho 2.94, 4 Pm 3.00
Rh: 0.5000 0.5000 0.7366  4 Ho 2.96, 4 Pm 3.04

---

Please write out number 1 again, unchanged.
Here is a relaxed PmHo2Rh9 crystal from Alexandria. Energies are from GGA-PBE.

D(E_F), states/eV/f.u.: 13.4
Space-group type: R-3m, No. 166
ΔE_f, eV/atom: -0.57

a b c (Å): 9.2704 9.2704 9.2704
angles (deg): 33.06 33.06 33.06
Closest atoms and distances in Å follow each position.
Sites, in units of the cell vectors:
Pm: 0.0000 0.0000 0.0000  6 Rh 3.05
Ho: 0.1393 0.1393 0.1393  12 Rh 3.02-3.28, 3 Ho 3.37
Ho: 0.8607 0.8607 0.8607  12 Rh 3.02-3.28, 3 Ho 3.37
Rh: 0.0826 0.5835 0.5835  7 Rh 2.63-2.67
Rh: 0.3331 0.3331 0.3331  6 Rh 2.66-2.67
Rh: 0.4165 0.4165 0.9174  7 Rh 2.63-2.67
Rh: 0.4165 0.9174 0.4165  7 Rh 2.63-2.67
Rh: 0.5000 0.5000 0.5000  6 Rh 2.67
Rh: 0.5835 0.0826 0.5835  7 Rh 2.63-2.67
Rh: 0.5835 0.5835 0.0826  7 Rh 2.63-2.67
Rh: 0.6669 0.6669 0.6669  6 Rh 2.66-2.67
Rh: 0.9174 0.4165 0.4165  7 Rh 2.63-2.67

---

Question: Number 4 is which compound?
Answer: PmHoRuRh

---

Question: The lowest ΔE_f belongs to which entry?
Answer: PmHo2Rh3